(1)
# Tm2SiO, optimized geometry, DFT GGA-PBE
data_Tm2SiO
_cell_length_a 5.6552
_cell_length_b 5.5622
_cell_length_c 11.3433
_cell_angle_alpha 90.00
_cell_angle_beta 115.53
_cell_angle_gamma 90.00
_space_group_name_H-M_alt 'P 1'
_space_group_IT_number 1
loop_
_space_group_symop_operation_xyz
'x,y,z'
loop_
_atom_site_label
_atom_site_type_symbol
_atom_site_fract_x
_atom_site_fract_y
_atom_site_fract_z
_atom_site_occupancy
Tm1 Tm 0.0878 0.2202 0.1051 1
Tm2 Tm 0.0878 0.7798 0.6051 1
Tm3 Tm 0.3126 0.2272 0.8575 1
Tm4 Tm 0.3126 0.7728 0.3575 1
Tm5 Tm 0.6874 0.2272 0.6425 1
Tm6 Tm 0.6874 0.7728 0.1425 1
Tm7 Tm 0.9122 0.2202 0.3949 1
Tm8 Tm 0.9122 0.7798 0.8949 1
Si1 Si 0.3928 0.2733 0.3731 1
Si2 Si 0.3928 0.7267 0.8731 1
Si3 Si 0.6072 0.2733 0.1269 1
Si4 Si 0.6072 0.7267 0.6269 1
O1 O 0.0515 0.1757 0.6220 1
O2 O 0.0515 0.8243 0.1220 1
O3 O 0.9485 0.1757 0.8780 1
O4 O 0.9485 0.8243 0.3780 1
# M_tot   0.00 μB/f.u.
# Final energy   -6.514 eV per atom
# Relative energy among the computed polymorphs   0.00 eV per formula unit



(2)
# TmSi2O6, optimized geometry, DFT GGA-PBE
data_TmSi2O6
_cell_length_a 7.0657
_cell_length_b 7.0657
_cell_length_c 5.4544
_cell_angle_alpha 102.96
_cell_angle_beta 102.96
_cell_angle_gamma 85.66
_space_group_name_H-M_alt 'P 1'
_space_group_IT_number 1
loop_
_space_group_symop_operation_xyz
'x,y,z'
loop_
_atom_site_label
_atom_site_type_symbol
_atom_site_fract_x
_atom_site_fract_y
_atom_site_fract_z
_atom_site_occupancy
Tm1 Tm 0.1151 0.8849 0.7500 1
Tm2 Tm 0.8849 0.1151 0.2500 1
Si1 Si 0.2168 0.3645 0.7458 1
Si2 Si 0.3645 0.2168 0.2458 1
Si3 Si 0.6355 0.7832 0.7542 1
Si4 Si 0.7832 0.6355 0.2542 1
O1 O 0.0686 0.1829 0.6443 1
O2 O 0.1142 0.5793 0.7709 1
O3 O 0.1829 0.0686 0.1443 1
O4 O 0.3498 0.3554 0.0335 1
O5 O 0.3554 0.3498 0.5335 1
O6 O 0.4207 0.8858 0.7291 1
O7 O 0.5793 0.1142 0.2709 1
O8 O 0.6446 0.6502 0.4665 1
O9 O 0.6502 0.6446 0.9665 1
O10 O 0.8171 0.9314 0.8557 1
O11 O 0.8858 0.4207 0.2291 1
O12 O 0.9314 0.8171 0.3557 1
# M_tot   1.04 μB/f.u.
# Final energy   -7.763 eV per atom



(3)
# USiO7, optimized geometry, DFT GGA-PBE
data_USiO7
_cell_length_a 8.8345
_cell_length_b 8.8345
_cell_length_c 6.7348
_cell_angle_alpha 90.00
_cell_angle_beta 90.00
_cell_angle_gamma 132.72
_space_group_name_H-M_alt 'P 1'
_space_group_IT_number 1
loop_
_space_group_symop_operation_xyz
'x,y,z'
loop_
_atom_site_label
_atom_site_type_symbol
_atom_site_fract_x
_atom_site_fract_y
_atom_site_fract_z
_atom_site_occupancy
U1 U 0.2023 0.7977 0.0000 1
U2 U 0.7977 0.2023 0.0000 1
Si1 Si 0.3967 0.6033 0.0000 1
Si2 Si 0.6033 0.3967 0.0000 1
O1 O 0.0382 0.9618 0.0000 1
O2 O 0.1549 0.4901 0.0000 1
O3 O 0.1983 0.8017 0.2652 1
O4 O 0.1983 0.8017 0.7348 1
O5 O 0.4549 0.5451 0.2057 1
O6 O 0.4549 0.5451 0.7943 1
O7 O 0.4901 0.1549 0.0000 1
O8 O 0.5099 0.8451 0.0000 1
O9 O 0.5451 0.4549 0.2057 1
O10 O 0.5451 0.4549 0.7943 1
O11 O 0.8017 0.1983 0.2652 1
O12 O 0.8017 0.1983 0.7348 1
O13 O 0.8451 0.5099 0.0000 1
O14 O 0.9618 0.0382 0.0000 1
# M_tot   1.02 μB/f.u.
# Final energy   -7.671 eV per atom



(4)
# U2SiO10, optimized geometry, DFT GGA-PBE
data_U2SiO10
_cell_length_a 10.5250
_cell_length_b 10.3434
_cell_length_c 7.0993
_cell_angle_alpha 71.50
_cell_angle_beta 68.74
_cell_angle_gamma 39.77
_space_group_name_H-M_alt 'P 1'
_space_group_IT_number 1
loop_
_space_group_symop_operation_xyz
'x,y,z'
loop_
_atom_site_label
_atom_site_type_symbol
_atom_site_fract_x
_atom_site_fract_y
_atom_site_fract_z
_atom_site_occupancy
U1 U 0.0524 0.0524 0.6976 1
U2 U 0.3024 0.3024 0.9476 1
U3 U 0.6976 0.6976 0.0524 1
U4 U 0.9476 0.9476 0.3024 1
Si1 Si 0.1250 0.1250 0.1250 1
Si2 Si 0.8750 0.8750 0.8750 1
O1 O 0.0073 0.3593 0.0712 1
O2 O 0.0622 0.0712 0.3593 1
O3 O 0.0712 0.0622 0.0073 1
O4 O 0.1564 0.1564 0.5936 1
O5 O 0.2145 0.7005 0.2711 1
O6 O 0.2711 0.3139 0.2145 1
O7 O 0.2995 0.7855 0.6861 1
O8 O 0.3139 0.2711 0.7005 1
O9 O 0.3593 0.0073 0.0622 1
O10 O 0.4064 0.4064 0.8436 1
O11 O 0.5936 0.5936 0.1564 1
O12 O 0.6407 0.9927 0.9378 1
O13 O 0.6861 0.7289 0.2995 1
O14 O 0.7005 0.2145 0.3139 1
O15 O 0.7289 0.6861 0.7855 1
O16 O 0.7855 0.2995 0.7289 1
O17 O 0.8436 0.8436 0.4064 1
O18 O 0.9288 0.9378 0.9927 1
O19 O 0.9378 0.9288 0.6407 1
O20 O 0.9927 0.6407 0.9288 1
# M_tot   2.99 μB/f.u.
# Final energy   -8.062 eV per atom



(5)
# USiO, optimized geometry, DFT GGA-PBE
data_USiO
_cell_length_a 3.2894
_cell_length_b 3.2894
_cell_length_c 8.3879
_cell_angle_alpha 90.00
_cell_angle_beta 90.00
_cell_angle_gamma 90.00
_space_group_name_H-M_alt 'P 1'
_space_group_IT_number 1
loop_
_space_group_symop_operation_xyz
'x,y,z'
loop_
_atom_site_label
_atom_site_type_symbol
_atom_site_fract_x
_atom_site_fract_y
_atom_site_fract_z
_atom_site_occupancy
U1 U 0.2500 0.2500 0.1889 1
U2 U 0.7500 0.7500 0.8111 1
Si1 Si 0.2500 0.2500 0.5527 1
Si2 Si 0.7500 0.7500 0.4473 1
O1 O 0.2500 0.2500 0.9080 1
O2 O 0.7500 0.7500 0.0920 1
# M_tot   2.58 μB/f.u.
# Final energy   -8.697 eV per atom



(6)
# USiO2, optimized geometry, DFT GGA-PBE
data_USiO2
_cell_length_a 10.3215
_cell_length_b 10.3215
_cell_length_c 10.3215
_cell_angle_alpha 15.19
_cell_angle_beta 15.19
_cell_angle_gamma 15.19
_space_group_name_H-M_alt 'P 1'
_space_group_IT_number 1
loop_
_space_group_symop_operation_xyz
'x,y,z'
loop_
_atom_site_label
_atom_site_type_symbol
_atom_site_fract_x
_atom_site_fract_y
_atom_site_fract_z
_atom_site_occupancy
U1 U 0.0000 0.0000 0.0000 1
Si1 Si 0.5000 0.5000 0.5000 1
O1 O 0.1370 0.1370 0.1370 1
O2 O 0.8630 0.8630 0.8630 1
# M_tot   1.62 μB/f.u.
# Final energy   -8.117 eV per atom



(7)
# USiO3, optimized geometry, DFT GGA-PBE
data_USiO3
_cell_length_a 3.7922
_cell_length_b 3.7922
_cell_length_c 3.7922
_cell_angle_alpha 90.00
_cell_angle_beta 90.00
_cell_angle_gamma 90.00
_space_group_name_H-M_alt 'P 1'
_space_group_IT_number 1
loop_
_space_group_symop_operation_xyz
'x,y,z'
loop_
_atom_site_label
_atom_site_type_symbol
_atom_site_fract_x
_atom_site_fract_y
_atom_site_fract_z
_atom_site_occupancy
U1 U 0.0000 0.0000 0.0000 1
Si1 Si 0.5000 0.5000 0.5000 1
O1 O 0.0000 0.5000 0.5000 1
O2 O 0.5000 0.0000 0.5000 1
O3 O 0.5000 0.5000 0.0000 1
# M_tot   3.56 μB/f.u.
# Final energy   -8.329 eV per atom



(8)
# USiO4, optimized geometry, DFT GGA-PBE
data_USiO4
_cell_length_a 5.8770
_cell_length_b 5.8770
_cell_length_c 5.8770
_cell_angle_alpha 106.71
_cell_angle_beta 106.71
_cell_angle_gamma 115.15
_space_group_name_H-M_alt 'P 1'
_space_group_IT_number 1
loop_
_space_group_symop_operation_xyz
'x,y,z'
loop_
_atom_site_label
_atom_site_type_symbol
_atom_site_fract_x
_atom_site_fract_y
_atom_site_fract_z
_atom_site_occupancy
U1 U 0.3750 0.6250 0.7500 1
U2 U 0.6250 0.3750 0.2500 1
Si1 Si 0.1250 0.8750 0.2500 1
Si2 Si 0.8750 0.1250 0.7500 1
O1 O 0.1375 0.7071 0.4304 1
O2 O 0.2232 0.2929 0.9304 1
O3 O 0.2929 0.2232 0.4304 1
O4 O 0.2929 0.8625 0.0696 1
O5 O 0.7071 0.1375 0.9304 1
O6 O 0.7071 0.7768 0.5696 1
O7 O 0.7768 0.7071 0.0696 1
O8 O 0.8625 0.2929 0.5696 1
# M_tot   2.00 μB/f.u.
# Final energy   -9.069 eV per atom